# Sr2Zn2Ag | the Alexandria database | PBEsol | relaxed
# formation energy = -58 meV per atom
# volume = 26.7 A^3/atom
# calculated total energy = -2.089 eV per atom
data_Sr2Zn2Ag
_chemical_formula_sum 'Sr4 Zn4 Ag2'
_symmetry_space_group_name_H-M 'I 4/m m m'
_symmetry_Int_Tables_number 139
_symmetry_space_group_name_Hall '-I 4 2'
_cell_length_a 3.7688
_cell_length_b 3.7688
_cell_length_c 18.7963
_cell_angle_alpha 90.00
_cell_angle_beta 90.00
_cell_angle_gamma 90.00
loop_
_atom_site_label
_atom_site_type_symbol
_atom_site_fract_x
_atom_site_fract_y
_atom_site_fract_z
Sr1 Sr 0.0000 0.0000 0.1036
Zn1 Zn 0.0000 0.5000 0.2500
Ag1 Ag 0.0000 0.0000 0.5000